# 1
4
Lattice="5.0411 0.0000 0.0000 2.5205 4.3657 0.0000 2.5205 1.4552 4.1160" Properties=species:S:1:pos:R:3 comment="PBE-GGA PmPaIrAu, optimized geometry" e_form_ev_per_atom=-0.490 vol_a3_per_atom=22.6 space_group="No. 216" pbc="T T T"
Ir 7.5616 4.3657 3.0870
Pa 5.0411 2.9105 2.0580
Au 2.5205 1.4552 1.0290
Pm 0.0000 0.0000 0.0000


# 2
20
Lattice="-3.0548 -1.4000 1.0076 -0.5465 -4.8071 -8.3358 4.7072 -7.4156 3.9678" Properties=species:S:1:pos:R:3 comment="PBE-GGA Li2Er2AlPd5, optimized geometry" e_form_ev_per_atom=-0.741 vol_a3_per_atom=16.3 space_group="No. 127" pbc="T T T"
Pd 0.1373 -7.2980 -3.6164
Li 1.2934 -7.0059 -5.8126
Pd 2.4378 -11.4733 -2.4431
Pd -1.0905 -6.6884 -6.4918
Pd -1.3319 -2.1494 -0.9172
Pd -0.3595 -5.0060 -1.9381
Pd -1.8007 -3.1035 -3.6641
Pd 0.9686 -6.3247 0.2560
Al 0.0000 0.0000 0.0000
Pd 2.1964 -6.9343 3.1315
Al 2.0803 -6.1113 -2.1840
Pd 0.8262 -4.4078 2.4877
Li 0.3753 -2.7256 -2.6489
Li 3.7853 -9.4971 -1.7190
Li 2.8673 -5.2167 1.4447
Pd 1.4654 -8.6167 -1.4222
Er 1.4293 -3.2489 -0.1808
Er 3.7019 -7.6686 0.5685
Er 2.7314 -8.9738 -4.1871
Er 0.4588 -4.5541 -4.9364


# 3
5
Lattice="3.3483 0.0000 0.0000 0.0000 3.3483 0.0000 0.0000 0.0000 6.1930" Properties=species:S:1:pos:R:3 comment="PBE-GGA SiHSeN2, optimized geometry" de_polymorph_mev_per_atom=0.0 vol_a3_per_atom=13.9 space_group="No. 123" pbc="T T T"
H 1.6742 1.6742 3.0965
Si 0.0000 0.0000 0.0000
N 0.0000 1.6742 0.0000
N 1.6742 0.0000 0.0000
Se 0.0000 0.0000 3.0965


# 4
4
Lattice="4.8421 0.0000 0.0000 2.4211 4.1934 0.0000 2.4211 1.3978 7.5718" Properties=species:S:1:pos:R:3 comment="PBE-GGA RbInSn2, optimized geometry" e_form_ev_per_atom=-0.014 vol_a3_per_atom=38.4 space_group="No. 160" pbc="T T T"
Sn 2.4211 1.3978 6.4202
In 7.2632 4.1934 7.4624
Rb 4.8421 2.7956 3.9394
Sn 2.4211 1.3978 1.1074


# 5
10
Lattice="5.7530 0.0000 -2.3927 0.0000 6.7967 0.0000 -0.9575 0.0000 8.8830" Properties=species:S:1:pos:R:3 comment="PBE-GGA LaInBi3, optimized geometry" e_form_ev_per_atom=-0.347 de_polymorph_mev_per_atom=0.0 vol_a3_per_atom=33.2 space_group="No. 11" pbc="T T T"
In 3.0485 5.0975 0.3164
Bi 2.8020 1.6992 0.4229
Bi 1.9935 5.0975 6.0674
Bi 0.0000 0.0000 0.0000
La 0.4776 1.6992 2.9564
Bi 0.0000 3.3984 0.0000
Bi 3.9860 1.6992 3.3868
In 1.7471 1.6992 6.1739
Bi 0.8096 5.0975 3.1035
La 4.3180 5.0975 3.5339


# 6
5
Lattice="-0.2984 5.7253 1.1136 -3.1755 0.7758 -4.8397 -2.7866 -0.4857 1.7506" Properties=species:S:1:pos:R:3 comment="PBE-GGA NiSI2N, optimized geometry" de_polymorph_mev_per_atom=296.8 vol_a3_per_atom=22.7 space_group="No. 123" formation_energy_uncorrected_ev_per_fu=5.9 pbc="T T T"
I -1.5878 0.3879 -2.4198
S 0.0000 0.0000 0.0000
I -0.1492 2.8627 0.5568
Ni -3.1303 3.0077 -0.9878
N -1.3933 -0.2429 0.8753